No. 1
Computed, not measured: an optimized crystal structure of Th5InHg at the PBE-GGA level of DFT.

Lattice parameters (Å, degrees): 8.1473 8.1473 8.1994 111.85 111.85 72.16
Fractional positions:
Th (0.0745, 0.9255, 0.7500)
Th (0.1532, 0.3016, 0.0981)
Th (0.2104, 0.6998, 0.3869)
Th (0.3002, 0.7896, 0.1131)
Th (0.3016, 0.1532, 0.5981)
Th (0.6984, 0.8468, 0.4019)
Th (0.6998, 0.2104, 0.8869)
Th (0.7896, 0.3002, 0.6131)
Th (0.8468, 0.6984, 0.9019)
Th (0.9255, 0.0745, 0.2500)
In (0.4386, 0.5614, 0.7500)
In (0.5614, 0.4386, 0.2500)
Hg (0.0000, 0.5000, 0.5000)
Hg (0.5000, 0.0000, 0.0000)

**DFT total energy**: -5.5158 eV/atom
**Space group**: No. 15
**Mass density**: 10656 kg/m3
**DFT formation energy**: 218 meV/atom

=====

No. 2
Computed, not measured: an optimized crystal structure of InHg2PPt at the PBE-GGA level of DFT.

Lattice parameters (Å, degrees): 5.4937 5.4937 5.1025 90.00 90.00 90.00
Fractional positions:
In (0.0000, 0.0000, 0.0000)
Hg (0.0000, 0.5000, 0.0000)
Hg (0.5000, 0.0000, 0.0000)
P (0.5000, 0.5000, 0.5000)
Pt (0.0000, 0.0000, 0.5000)

**DFT total energy**: -1.9475 eV/atom
**Space group**: No. 123
**Mass density**: 8002 kg/m3
**DFT formation energy**: 1011 meV/atom

=====

> What is the formula in the first record?

Th5InHg

=====

> The highest mass density belongs to which entry?

Th5InHg

=====

Please write out number 2 again, unchanged.
Computed, not measured: an optimized crystal structure of InHg2PPt at the PBE-GGA level of DFT.

Lattice parameters (Å, degrees): 5.4937 5.4937 5.1025 90.00 90.00 90.00
Fractional positions:
In (0.0000, 0.0000, 0.0000)
Hg (0.0000, 0.5000, 0.0000)
Hg (0.5000, 0.0000, 0.0000)
P (0.5000, 0.5000, 0.5000)
Pt (0.0000, 0.0000, 0.5000)

**DFT total energy**: -1.9475 eV/atom
**Space group**: No. 123
**Mass density**: 8002 kg/m3
**DFT formation energy**: 1011 meV/atom

=====

> What is the DFT formation energy in the second record?

1011 meV/atom